Entry from Alexandria: a relaxed V2CoCuH crystal (GGA-PBE).

abc: 3.6897 3.6897 3.7459
angles: 90.00 90.00 90.00
Last column: nearest neighbours and their distance in Å.
Positions (direct):
V: 0.0000 0.5000 0.0000  2 H 1.84
V: 0.5000 0.0000 0.0000  2 H 1.84
Co: 0.0000 0.0000 0.5000  4 Cu 2.61, 8 V 2.63
Cu: 0.5000 0.5000 0.5000  2 H 1.87
H: 0.5000 0.5000 0.0000  4 V 1.84, 2 Cu 1.87

The calculated total energy comes out at -32.7 eV per cell.